Crystalline KBa2As at its relaxed geometry. Source: the Alexandria database, functional PBE. Values from VASP.

## Properties
Total magnetization in μB/cell: 0.00
Formation energy in eV per atom: -0.502

The structure in Quantum ESPRESSO input format:
```
&SYSTEM
  ibrav = 0, nat = 4, ntyp = 3
/
ATOMIC_SPECIES
K 39.10 K.upf
Ba 137.33 Ba.upf
As 74.92 As.upf
CELL_PARAMETERS angstrom
4.618 0.000 0.000
0.000 2.464 9.092
0.000 -2.464 9.092
ATOMIC_POSITIONS crystal
K 0.000 0.000 0.000
Ba 0.000 0.330 0.330
Ba 0.500 0.679 0.679
As 0.500 0.850 0.850
```